Fe2ReGeW: optimized geometry, PBE.

Cell lengths 4.535, 4.535, 4.780 Å; angles 90.00, 90.00, 90.00 degrees
Space group P4/mmm (No. 123)
One atom of each set of equivalent atoms:
Fe 0.000 0.500 0.000 (multiplicity 2)
Re 0.000 0.000 0.500 (multiplicity 1)
Ge 0.500 0.500 0.500 (multiplicity 1)
W 0.000 0.000 0.000 (multiplicity 1)

***

YFe2ReGe: optimized geometry, PBE.

Cell lengths 4.444, 4.444, 4.690 Å; angles 90.00, 90.00, 90.00 degrees
Space group P4/mmm (No. 123)
One atom of each set of equivalent atoms:
Y 0.000 0.000 0.000 (multiplicity 1)
Fe 0.000 0.500 0.500 (multiplicity 2)
Re 0.500 0.500 0.000 (multiplicity 1)
Ge 0.500 0.500 0.500 (multiplicity 1)

***

| no. | E_form (meV/atom) | V (Å³ per atom) | DOS(E_F) (states/eV/cell) |
| --- | --- | --- | --- |
| 1 | 1777.4 | 19.661 | 4.29 |
| 2 | 582.0 | 18.525 | 3.05 |